# YTlCl2

Crystalline YTlCl2 at its relaxed geometry (PBE, Alexandria via LeMat-Bulk).

Summary:
formation energy (no corrections)	-1.224	eV/atom

a b c (Å): 3.4748 3.5584 20.7238
angles (deg): 90.00 90.00 90.00
Space group Imm2 (No. 44)
Inequivalent atoms, fractional coordinates:
Y (0.0000, 0.0000, 0.0000) (multiplicity 2)
Tl (0.0000, 0.5000, 0.2394) (multiplicity 2)
Cl (0.0000, 0.0000, 0.5660) (multiplicity 2)
Cl (0.0000, 0.5000, 0.9061) (multiplicity 2)

---

# TbPmThTl

Crystalline TbPmThTl at its relaxed geometry (PBE, Alexandria via LeMat-Bulk).

a b c (Å): 7.8149 7.8149 7.8149
angles (deg): 90.00 90.00 90.00
Space group F-43m (No. 216)
Inequivalent atoms, fractional coordinates:
Tb (0.0000, 0.0000, 0.0000) (multiplicity 4)
Pm (0.0000, 0.0000, 0.5000) (multiplicity 4)
Th (0.2500, 0.2500, 0.7500) (multiplicity 4)
Tl (0.2500, 0.2500, 0.2500) (multiplicity 4)

---

# NiP

Crystalline NiP at its relaxed geometry (PBE, Alexandria via LeMat-Bulk).

a b c (Å): 4.4437 9.0267 12.6838
angles (deg): 90.00 90.00 90.00
Space group Fddd (No. 70, origin choice 2)
Inequivalent atoms, fractional coordinates:
Ni (0.1250, 0.1250, 0.0245) (multiplicity 16)
P (0.1250, 0.3238, 0.1250) (multiplicity 16)

---

# YErTm2Se4

Crystalline YErTm2Se4 at its relaxed geometry (PBE, Alexandria via LeMat-Bulk).

Summary:
formation energy (no corrections)	-1.691	eV/atom

a b c (Å): 7.0273 3.9850 7.0277
angles (deg): 90.00 108.79 90.00
Space group P2/m (No. 10)
Inequivalent atoms, fractional coordinates:
Y (0.0000, 0.0000, 0.0000) (multiplicity 1)
Er (0.5000, 0.5000, 0.0000) (multiplicity 1)
Tm (0.0000, 0.5000, 0.5000) (multiplicity 1)
Tm (0.5000, 0.0000, 0.5000) (multiplicity 1)
Se (0.2509, 0.0000, 0.7463) (multiplicity 2)
Se (0.2539, 0.5000, 0.2553) (multiplicity 2)

---

For the records above, the corresponding final energy values read -17.42 -18.98 -11.63 -47.44 eV per formula unit.